(1)
Material: BaErAg2Cl8
Method: DFT, PBE
State: optimized geometry

The structure belongs to space group P-3 (No. 147); the cell edges are 6.6914, 6.6914 and 8.8401 Å and the angles 90.00°, 90.00° and 120.00°. The distinct sites, in fractional coordinates, are Ba at (0.0000, 0.0000, 0.0000), Er at (0.0000, 0.0000, 0.5000), Ag at (0.3333, 0.6667, 0.7095), Cl at (0.0436, 0.7207, 0.3139) and Cl at (0.3333, 0.6667, 0.9897).

(2)
Material: Ba2AgGeCl
Method: DFT, PBE
State: optimized geometry

The structure belongs to space group P4/mmm (No. 123); the cell edges are 6.412, 6.412 and 5.227 Å and the angles 90.00°, 90.00° and 90.00°. The distinct sites, in fractional coordinates, are Ba at (0.000, 0.500, 0.000), Ag at (0.000, 0.000, 0.500), Ge at (0.500, 0.500, 0.000) and Cl at (0.500, 0.500, 0.500).

(3)
Material: BaAgHgCl6
Method: DFT, PBE
State: optimized geometry

The structure belongs to space group P1 (No. 1); the cell edges are 6.132, 6.759 and 7.341 Å and the angles 90.44°, 110.48° and 98.62°. The distinct sites, in fractional coordinates, are Ba at (0.000, 0.000, 0.000), Ag at (0.280, 0.482, 0.682), Hg at (0.623, 0.469, 0.298), Cl at (0.270, 0.636, 0.987), Cl at (0.301, 0.277, 0.395), Cl at (0.552, 0.177, 0.028), Cl at (0.611, 0.723, 0.671), Cl at (0.919, 0.246, 0.636) and Cl at (0.960, 0.729, 0.345).

(4)
Material: BaHoAgCl6
Method: DFT, PBE
State: optimized geometry

The structure belongs to space group P-31c (No. 163); the cell edges are 7.0094, 7.0094 and 13.4541 Å and the angles 90.00°, 90.00° and 120.00°. The distinct sites, in fractional coordinates, are Ba at (0.0000, 0.0000, 0.0000), Ho at (0.3333, 0.6667, 0.2500), Ag at (0.3333, 0.6667, 0.7500) and Cl at (0.0170, 0.3678, 0.1363).

(5)
Material: BaHoAg2Cl8
Method: DFT, PBE
State: optimized geometry

The structure belongs to space group P-3 (No. 147); the cell edges are 6.6990, 6.6990 and 8.8676 Å and the angles 90.00°, 90.00° and 120.00°. The distinct sites, in fractional coordinates, are Ba at (0.0000, 0.0000, 0.0000), Ho at (0.0000, 0.0000, 0.5000), Ag at (0.3333, 0.6667, 0.7113), Cl at (0.0429, 0.7200, 0.3129) and Cl at (0.3333, 0.6667, 0.9905).

(6)
Material: BaInAg2Cl8
Method: DFT, PBE
State: optimized geometry

The structure belongs to space group P-1 (No. 2); the cell edges are 6.511, 6.694 and 8.249 Å and the angles 90.02°, 90.12° and 96.55°. The distinct sites, in fractional coordinates, are Ba at (0.000, 0.000, 0.000), In at (0.000, 0.000, 0.500), Ag at (0.500, 0.500, 0.253), Cl at (0.219, 0.850, 0.292), Cl at (0.220, 0.851, 0.708), Cl at (0.269, 0.405, 0.000) and Cl at (0.280, 0.342, 0.500).

DOS at the Fermi energy per entry: 6.18; 3.66; 1.40; 0.00; 6.05; 6.48 states/eV/f.u.
Calculated total energy per entry: -3.69; -2.92; -2.90; -4.22; -3.69; -3.19 eV per atom